Version A
{"formula": "HRh3Pb", "functional": "PBE", "state": "optimized geometry", "dos_at_fermi_per_ev_fu": 4.3, "crystal_system": "monoclinic", "volume_a3_per_atom": 15.7, "magmom_total_mub_per_cell": 0.0, "lattice_angstrom": [[-8.647, 4.862, 10.986], [-5.930, -0.550, 4.736], [6.571, -2.566, -2.853]], "species": ["Pb", "Pb", "H", "H", "Rh", "Rh", "Rh", "Rh", "Rh", "Rh"], "fractional_positions": [[0.801, 0.091, 0.909], [0.199, 0.909, 0.091], [0.735, 0.833, 0.167], [0.265, 0.167, 0.833], [0.688, 0.376, 0.624], [0.312, 0.624, 0.376], [0.079, 0.236, 0.764], [0.921, 0.764, 0.236], [0.636, 0.601, 0.399], [0.364, 0.399, 0.601]]}

Version B
{"formula": "HRh3Pb", "functional": "PBE", "state": "optimized geometry", "dos_at_fermi_per_ev_fu": 5.8, "crystal_system": "orthorhombic", "volume_a3_per_atom": 13.7, "magmom_total_mub_per_cell": 0.0, "lattice_angstrom": [[3.863, 0.000, 0.629], [0.000, 6.035, 0.000], [-0.936, 0.000, 5.726]], "species": ["Pb", "Pb", "H", "H", "Rh", "Rh", "Rh", "Rh", "Rh", "Rh"], "fractional_positions": [[0.500, 0.250, 0.500], [0.500, 0.750, 0.500], [0.999, 0.250, 0.001], [0.001, 0.750, 0.999], [0.000, 0.000, 0.765], [0.000, 0.000, 0.235], [0.000, 0.500, 0.765], [0.000, 0.500, 0.235], [0.500, 0.250, 0.000], [0.500, 0.750, 0.000]]}

Version C
{"formula": "HRh3Pb", "functional": "PBE", "state": "optimized geometry", "dos_at_fermi_per_ev_fu": 3.6, "crystal_system": "monoclinic", "volume_a3_per_atom": 13.8, "magmom_total_mub_per_cell": 0.0, "lattice_angstrom": [[5.784, 0.000, -0.001], [-2.892, 4.970, 0.040], [2.893, -0.102, 4.782]], "species": ["Pb", "Pb", "H", "H", "Rh", "Rh", "Rh", "Rh", "Rh", "Rh"], "fractional_positions": [[0.490, 0.354, 0.194], [0.964, 0.741, 0.632], [0.249, 0.703, 0.023], [0.204, 0.391, 0.803], [0.462, 0.742, 0.638], [0.013, 0.872, 0.143], [0.992, 0.353, 0.188], [0.441, 0.223, 0.683], [0.535, 0.872, 0.143], [0.918, 0.223, 0.683]]}

Energy above the most stable structure, in kJ/mol of atoms: version A 13.2; version B 6.9; version C 0.0

Version A
{"formula": "HRh3Pb", "functional": "PBE", "state": "optimized geometry", "dos_at_fermi_per_ev_fu": 6.7, "crystal_system": "monoclinic", "volume_a3_per_atom": 14.6, "magmom_total_mub_per_cell": 0.0, "lattice_angstrom": [[12.788, 0.000, -1.061], [5.536, 4.139, -3.211], [-5.536, 4.139, 3.211]], "species": ["Pb", "Pb", "Pb", "Pb", "H", "H", "H", "H", "Rh", "Rh", "Rh", "Rh", "Rh", "Rh", "Rh", "Rh", "Rh", "Rh", "Rh", "Rh"], "fractional_positions": [[0.750, 0.171, 0.671], [0.250, 0.829, 0.329], [0.750, 0.604, 0.104], [0.250, 0.396, 0.896], [0.343, 0.158, 0.526], [0.157, 0.026, 0.658], [0.657, 0.842, 0.474], [0.843, 0.974, 0.342], [0.405, 0.256, 0.407], [0.095, 0.907, 0.756], [0.595, 0.744, 0.593], [0.905, 0.093, 0.244], [0.083, 0.262, 0.075], [0.417, 0.575, 0.762], [0.917, 0.738, 0.925], [0.583, 0.425, 0.238], [0.587, 0.089, 0.916], [0.913, 0.416, 0.589], [0.413, 0.911, 0.084], [0.087, 0.584, 0.411]]}

Version B
{"formula": "HRh3Pb", "functional": "PBE", "state": "optimized geometry", "dos_at_fermi_per_ev_fu": 6.6, "crystal_system": "monoclinic", "volume_a3_per_atom": 14.4, "magmom_total_mub_per_cell": 0.0, "lattice_angstrom": [[-4.595, -8.849, -2.531], [3.939, -6.106, -2.878], [6.951, 0.254, 3.563]], "species": ["Pb", "Pb", "Pb", "Pb", "H", "H", "H", "H", "Rh", "Rh", "Rh", "Rh", "Rh", "Rh", "Rh", "Rh", "Rh", "Rh", "Rh", "Rh"], "fractional_positions": [[0.069, 0.466, 0.339], [0.431, 0.839, 0.966], [0.931, 0.534, 0.661], [0.569, 0.161, 0.034], [0.750, 0.206, 0.706], [0.250, 0.794, 0.294], [0.750, 0.432, 0.932], [0.250, 0.568, 0.068], [0.414, 0.401, 0.483], [0.086, 0.983, 0.901], [0.586, 0.599, 0.517], [0.914, 0.017, 0.099], [0.105, 0.184, 0.157], [0.395, 0.657, 0.684], [0.895, 0.816, 0.843], [0.605, 0.343, 0.316], [0.593, 0.815, 0.741], [0.907, 0.241, 0.315], [0.407, 0.185, 0.259], [0.093, 0.759, 0.685]]}

Version C
{"formula": "HRh3Pb", "functional": "PBE", "state": "optimized geometry", "dos_at_fermi_per_ev_fu": 6.2, "crystal_system": "trigonal", "volume_a3_per_atom": 21.9, "magmom_total_mub_per_cell": 1.7, "lattice_angstrom": [[-3.258, -4.438, 0.784], [1.099, -5.083, -1.972], [1.358, -4.365, 3.167]], "species": ["Pb", "H", "Rh", "Rh", "Rh"], "fractional_positions": [[0.828, 0.828, 0.828], [0.067, 0.067, 0.067], [0.824, 0.332, 0.824], [0.332, 0.824, 0.824], [0.824, 0.824, 0.332]]}

Version D
{"formula": "HRh3Pb", "functional": "PBE", "state": "optimized geometry", "dos_at_fermi_per_ev_fu": 4.4, "crystal_system": "orthorhombic", "volume_a3_per_atom": 19.3, "magmom_total_mub_per_cell": 0.0, "lattice_angstrom": [[2.828, 0.000, 0.000], [0.000, 2.620, -6.517], [0.000, 2.620, 6.517]], "species": ["Pb", "H", "Rh", "Rh", "Rh"], "fractional_positions": [[0.500, 0.097, 0.903], [0.000, 0.439, 0.561], [0.500, 0.673, 0.856], [0.500, 0.144, 0.327], [0.000, 0.276, 0.724]]}

Energy above the most stable structure, in kJ/mol of atoms: version A 0.0; version B 1.6; version C 57.6; version D 38.5